1.
First-principles (GGA-PBE) data for crystalline Ni2RhBr at its relaxed geometry, as listed in Alexandria.

a = 6.8221 Å, b = 6.8221 Å, c = 5.0743 Å
α = 90.00°, β = 90.00°, γ = 90.00°
Closest atoms and distances in Å follow each position.
Space group I-42d (No. 122)
Inequivalent atoms, fractional coordinates:
Ni1 0.2348 0.2500 0.1250 [8 per cell]  2 Br 2.42, 2 Ni 2.55, 2 Rh 2.57
Rh1 0.0000 0.0000 0.5000 [4 per cell]  2 Br 2.54, 4 Ni 2.57
Br1 0.0000 0.0000 0.0000 [4 per cell]  4 Ni 2.42, 2 Rh 2.54

## Properties
Energy relative to the lowest polymorph listed for this composition   231.0 meV/atom
Energy relative to the elements, uncorrected   0.577 eV/atom
Fermi-level density of states   12.37 states/eV/cell
Size of the total moment   7.40 Bohr magnetons per cell
Calculated total energy   -4.5699 eV/atom

2.
First-principles (GGA-PBE) data for crystalline NiRhBr2 at its relaxed geometry, as listed in Alexandria.

a = 4.8800 Å, b = 3.5068 Å, c = 5.3135 Å
α = 90.00°, β = 90.07°, γ = 90.00°
Closest atoms and distances in Å follow each position.
Space group P2/m (No. 10)
Inequivalent atoms, fractional coordinates:
Ni1 0.0000 0.0000 0.0000 [1 per cell]  4 Br 2.50, 2 Rh 2.66
Rh1 0.0000 0.0000 0.5000 [1 per cell]  4 Br 2.51, 2 Ni 2.66
Br1 0.2457 0.5000 0.7532 [2 per cell]  2 Ni 2.50, 2 Rh 2.51

## Properties
Energy relative to the lowest polymorph listed for this composition   288.9 meV/atom
Energy relative to the elements, uncorrected   0.259 eV/atom
Fermi-level density of states   2.73 states/eV/cell
Size of the total moment   0.71 Bohr magnetons per cell
Calculated total energy   -3.8603 eV/atom

3.
First-principles (GGA-PBE) data for crystalline Ni2RhBr at its relaxed geometry, as listed in Alexandria.

a = 2.9317 Å, b = 4.4437 Å, c = 8.6391 Å
α = 90.00°, β = 90.00°, γ = 90.00°
Closest atoms and distances in Å follow each position.
Space group Immm (No. 71)
Inequivalent atoms, fractional coordinates:
Ni1 0.0000 0.0000 0.2392 [4 per cell]  2 Br 2.53, 4 Ni 2.67, 2 Rh 2.69
Rh1 0.0000 0.5000 0.0000 [2 per cell]  4 Br 2.66, 4 Ni 2.69, 2 Rh 2.93
Br1 0.0000 0.5000 0.5000 [2 per cell]  4 Ni 2.53, 4 Rh 2.66

## Properties
Energy relative to the lowest polymorph listed for this composition   243.8 meV/atom
Energy relative to the elements, uncorrected   0.590 eV/atom
Fermi-level density of states   13.28 states/eV/cell
Size of the total moment   2.60 Bohr magnetons per cell
Calculated total energy   -4.5571 eV/atom

4.
First-principles (GGA-PBE) data for crystalline NiRhBr2 at its relaxed geometry, as listed in Alexandria.

a = 3.7085 Å, b = 3.5554 Å, c = 7.1369 Å
α = 90.00°, β = 91.64°, γ = 90.00°
Closest atoms and distances in Å follow each position.
Space group Pm (No. 6)
Inequivalent atoms, fractional coordinates:
Ni1 0.0000 0.0000 0.0000 [1 per cell]  3 Br 2.43-2.48, 4 Rh 2.65-2.71
Rh1 0.4825 0.5000 0.8946 [1 per cell]  3 Br 2.45-2.52, 4 Ni 2.65-2.71
Br1 0.1957 0.5000 0.2105 [1 per cell]  2 Ni 2.43, 1 Rh 2.52
Br2 0.6914 0.0000 0.6869 [1 per cell]  2 Rh 2.45, 1 Ni 2.48

## Properties
Energy relative to the lowest polymorph listed for this composition   130.7 meV/atom
Energy relative to the elements, uncorrected   0.101 eV/atom
Fermi-level density of states   3.92 states/eV/cell
Size of the total moment   1.29 Bohr magnetons per cell
Calculated total energy   -4.0185 eV/atom

5.
First-principles (GGA-PBE) data for crystalline Ni2RhBr at its relaxed geometry, as listed in Alexandria.

a = 6.0956 Å, b = 6.0956 Å, c = 6.0956 Å
α = 90.00°, β = 90.00°, γ = 90.00°
Closest atoms and distances in Å follow each position.
Space group Fm-3m (No. 225)
Inequivalent atoms, fractional coordinates:
Ni1 0.2500 0.2500 0.2500 [8 per cell]  4 Br 2.64, 4 Rh 2.64
Rh1 0.0000 0.0000 0.0000 [4 per cell]  8 Ni 2.64
Br1 0.0000 0.0000 0.5000 [4 per cell]  8 Ni 2.64

## Properties
Energy relative to the lowest polymorph listed for this composition   339.3 meV/atom
Energy relative to the elements, uncorrected   0.685 eV/atom
Fermi-level density of states   17.15 states/eV/cell
Size of the total moment   6.08 Bohr magnetons per cell
Calculated total energy   -4.4616 eV/atom

6.
First-principles (GGA-PBE) data for crystalline Ni2RhBr at its relaxed geometry, as listed in Alexandria.

a = 3.8706 Å, b = 3.8706 Å, c = 7.6183 Å
α = 90.00°, β = 90.00°, γ = 90.00°
Closest atoms and distances in Å follow each position.
Space group I4/mmm (No. 139)
Inequivalent atoms, fractional coordinates:
Ni1 0.0000 0.5000 0.2500 [4 per cell]  4 Br 2.72, 4 Rh 2.72, 4 Ni 2.74
Rh1 0.0000 0.0000 0.0000 [2 per cell]  8 Ni 2.72, 4 Br 2.74
Br1 0.0000 0.0000 0.5000 [2 per cell]  8 Ni 2.72, 4 Rh 2.74

## Properties
Energy relative to the lowest polymorph listed for this composition   315.0 meV/atom
Energy relative to the elements, uncorrected   0.661 eV/atom
Fermi-level density of states   12.23 states/eV/cell
Size of the total moment   4.05 Bohr magnetons per cell
Calculated total energy   -4.4858 eV/atom

7.
First-principles (GGA-PBE) data for crystalline NiRh2Br2 at its relaxed geometry, as listed in Alexandria.

a = 6.6949 Å, b = 6.6949 Å, c = 3.8195 Å
α = 90.00°, β = 90.00°, γ = 90.00°
Closest atoms and distances in Å follow each position.
Space group P4/mbm (No. 127)
Inequivalent atoms, fractional coordinates:
Ni1 0.0000 0.0000 0.0000 [2 per cell]  4 Br 2.48
Rh1 0.1478 0.3522 0.5000 [4 per cell]  2 Br 2.56, 1 Rh 2.80
Br1 0.1724 0.6724 0.0000 [4 per cell]  2 Ni 2.48, 2 Rh 2.56

## Properties
Energy relative to the lowest polymorph listed for this composition   78.8 meV/atom
Energy relative to the elements, uncorrected   0.741 eV/atom
Fermi-level density of states   6.72 states/eV/cell
Size of the total moment   0.00 Bohr magnetons per cell
Calculated total energy   -4.0248 eV/atom

8.
First-principles (GGA-PBE) data for crystalline Ni2RhBr at its relaxed geometry, as listed in Alexandria.

a = 3.8742 Å, b = 3.8742 Å, c = 7.5620 Å
α = 90.00°, β = 90.00°, γ = 90.00°
Closest atoms and distances in Å follow each position.
Space group I-4m2 (No. 119)
Inequivalent atoms, fractional coordinates:
Ni1 0.0000 0.0000 0.0000 [2 per cell]  4 Ni 2.71, 4 Rh 2.71, 4 Br 2.74
Ni2 0.0000 0.5000 0.2500 [2 per cell]  4 Br 2.71, 4 Ni 2.71, 4 Rh 2.74
Rh1 0.0000 0.5000 0.7500 [2 per cell]  4 Br 2.71, 8 Ni 2.71-2.74
Br1 0.0000 0.0000 0.5000 [2 per cell]  8 Ni 2.71-2.74, 4 Rh 2.71

## Properties
Energy relative to the lowest polymorph listed for this composition   295.5 meV/atom
Energy relative to the elements, uncorrected   0.641 eV/atom
Fermi-level density of states   11.37 states/eV/cell
Size of the total moment   4.49 Bohr magnetons per cell
Calculated total energy   -4.5054 eV/atom